The following is a PBE calculation of a geometry-optimized InTc2I4 structure, from Alexandria.

The calculation puts the formation energy without anion corrections at 493 meV/atom. The calculation puts the density at 4.94 g/cm³.

It has space group I4/mmm (No. 139), with a = 6.260 Å, b = 6.260 Å, c = 14.030 Å, α = 90.00°, β = 90.00° and γ = 90.00°. Symmetry generates all atoms from In at (0.000, 0.000, 0.000), Tc at (0.000, 0.000, 0.427), I at (0.000, 0.000, 0.232) and I at (0.000, 0.500, 0.000).